[1]
Material: BeAl2Cl
Method: DFT, GGA-PBEsol
State: optimized geometry

Its total energy is -3.5039 eV/atom. The calculation puts the uncorrected formation energy at 44 meV per atom.

Unit cell a=4.852 b=4.852 c=2.718 alpha=90.00 beta=90.00 gamma=90.00
Space group P4/mmm (No. 123)
Unique sites:
Be  0.000  0.000  0.000 [1 per cell]
Al  0.000  0.500  0.500 [2 per cell]
Cl  0.500  0.500  0.500 [1 per cell]



[2]
Material: BeAlCl
Method: DFT, GGA-PBEsol
State: optimized geometry

Its total energy is -2.3050 eV/atom. As for the energy above the most stable polymorph in this dataset: 0.900 eV per atom. The calculation puts the uncorrected formation energy at 1062 meV per atom.

Unit cell a=6.634 b=6.634 c=6.634 alpha=90.00 beta=90.00 gamma=90.00
Space group F-43m (No. 216)
Unique sites:
Be  0.000  0.000  0.000 [4 per cell]
Al  0.000  0.000  0.500 [4 per cell]
Cl  0.250  0.250  0.250 [4 per cell]



[3]
Material: BeAlCl
Method: DFT, GGA-PBEsol
State: optimized geometry

Its total energy is -3.2049 eV/atom. As for the energy above the most stable polymorph in this dataset: 0.000 eV per atom. The calculation puts the uncorrected formation energy at 162 meV per atom.

Unit cell a=3.047 b=3.047 c=9.900 alpha=90.00 beta=90.00 gamma=90.00
Space group I4mm (No. 107)
Unique sites:
Be  0.000  0.000  0.000 [2 per cell]
Al  0.000  0.000  0.376 [2 per cell]
Cl  0.000  0.000  0.656 [2 per cell]



[4]
Material: Na4BeAlSi4ClO12
Method: DFT, GGA-PBEsol
State: optimized geometry

Its total energy is -7.0388 eV/atom. As for the energy above the most stable polymorph in this dataset: 0.000 eV per atom. The calculation puts the uncorrected formation energy at -2618 meV per atom.

Unit cell a=8.650 b=8.650 c=8.907 alpha=90.00 beta=90.00 gamma=90.00
Space group I-4 (No. 82)
Unique sites:
Na  0.154  0.303  0.431 [8 per cell]
Be  0.000  0.000  0.500 [2 per cell]
Al  0.000  0.000  0.000 [2 per cell]
Si  0.014  0.246  0.746 [8 per cell]
Cl  0.000  0.500  0.250 [2 per cell]
O  0.040  0.848  0.601 [8 per cell]
O  0.079  0.148  0.888 [8 per cell]
O  0.133  0.651  0.810 [8 per cell]



[5]
Material: Na8BeAl4Si7Cl2O24
Method: DFT, GGA-PBEsol
State: optimized geometry

Its total energy is -6.9845 eV/atom. The calculation puts the uncorrected formation energy at -2598 meV per atom.

Unit cell a=8.861 b=8.861 c=8.919 alpha=90.00 beta=90.00 gamma=90.00
Space group P-4 (No. 81)
Unique sites:
Na  0.173  0.681  0.430 [4 per cell]
Na  0.203  0.321  0.063 [4 per cell]
Be  0.500  0.500  0.000 [1 per cell]
Al  0.001  0.252  0.749 [4 per cell]
Si  0.000  0.000  0.000 [1 per cell]
Si  0.000  0.000  0.500 [1 per cell]
Si  0.259  0.494  0.754 [4 per cell]
Si  0.500  0.500  0.500 [1 per cell]
Cl  0.000  0.500  0.247 [2 per cell]
O  0.057  0.145  0.902 [4 per cell]
O  0.060  0.857  0.598 [4 per cell]
O  0.155  0.639  0.797 [4 per cell]
O  0.160  0.353  0.690 [4 per cell]
O  0.357  0.552  0.603 [4 per cell]
O  0.360  0.445  0.894 [4 per cell]



[6]
Material: Na4BeAlSi4ClO12
Method: DFT, GGA-PBEsol
State: optimized geometry

Its total energy is -6.9912 eV/atom. As for the energy above the most stable polymorph in this dataset: 0.048 eV per atom. The calculation puts the uncorrected formation energy at -2570 meV per atom.

Unit cell a=8.774 b=12.532 c=12.464 alpha=90.00 beta=90.11 gamma=90.00
Space group Cc (No. 9)
Unique sites:
Na  0.000  0.053  0.000 [4 per cell]
Na  0.336  0.237  0.799 [4 per cell]
Na  0.368  0.265  0.161 [4 per cell]
Na  0.473  0.071  0.486 [4 per cell]
Be  0.166  0.122  0.606 [4 per cell]
Al  0.175  0.379  0.363 [4 per cell]
Si  0.160  0.367  0.616 [4 per cell]
Si  0.169  0.131  0.360 [4 per cell]
Si  0.409  0.002  0.729 [4 per cell]
Si  0.424  0.493  0.738 [4 per cell]
Cl  0.165  0.249  0.987 [4 per cell]
O  0.011  0.398  0.692 [4 per cell]
O  0.017  0.408  0.283 [4 per cell]
O  0.020  0.082  0.676 [4 per cell]
O  0.022  0.112  0.278 [4 per cell]
O  0.115  0.400  0.494 [4 per cell]
O  0.121  0.109  0.481 [4 per cell]
O  0.200  0.245  0.640 [4 per cell]
O  0.233  0.249  0.331 [4 per cell]
O  0.305  0.045  0.329 [4 per cell]
O  0.305  0.443  0.648 [4 per cell]
O  0.315  0.049  0.631 [4 per cell]
O  0.333  0.461  0.342 [4 per cell]



[7]
Material: BeAlZnCl2
Method: DFT, GGA-PBEsol
State: optimized geometry

Its total energy is -2.7797 eV/atom. The calculation puts the uncorrected formation energy at -42 meV per atom.

Unit cell a=4.208 b=4.208 c=5.501 alpha=90.00 beta=90.00 gamma=90.00
Space group P4/mmm (No. 123)
Unique sites:
Be  0.000  0.000  0.000 [1 per cell]
Al  0.500  0.500  0.500 [1 per cell]
Zn  0.000  0.000  0.500 [1 per cell]
Cl  0.000  0.500  0.000 [2 per cell]



[8]
Material: Be2AlCo
Method: DFT, GGA-PBEsol
State: optimized geometry

Its total energy is -5.2301 eV/atom. The calculation puts the calculated formation energy at -272.9 meV per atom.

Unit cell a=3.055 b=3.573 c=7.211 alpha=90.00 beta=90.00 gamma=90.00
Space group Immm (No. 71)
Unique sites:
Be  0.000  0.000  0.240 [4 per cell]
Al  0.000  0.500  0.000 [2 per cell]
Co  0.000  0.500  0.500 [2 per cell]



[9]
Material: BeAl2Co
Method: DFT, GGA-PBEsol
State: optimized geometry

Its total energy is -5.2321 eV/atom. The calculation puts the calculated formation energy at -252.1 meV per atom.

Unit cell a=2.896 b=2.896 c=5.486 alpha=90.00 beta=90.00 gamma=90.00
Space group P4/mmm (No. 123)
Unique sites:
Be  0.000  0.000  0.000 [1 per cell]
Al  0.500  0.500  0.255 [2 per cell]
Co  0.000  0.000  0.500 [1 per cell]



[10]
Material: Be2AlCo
Method: DFT, GGA-PBEsol
State: optimized geometry

Its total energy is -5.1926 eV/atom. The calculation puts the calculated formation energy at -235.5 meV per atom.

Unit cell a=3.336 b=3.336 c=7.104 alpha=90.00 beta=90.00 gamma=90.00
Space group I-4m2 (No. 119)
Unique sites:
Be  0.000  0.000  0.000 [2 per cell]
Be  0.000  0.500  0.250 [2 per cell]
Al  0.000  0.500  0.750 [2 per cell]
Co  0.000  0.000  0.500 [2 per cell]



[11]
Material: Be2AlCo
Method: DFT, GGA-PBEsol
State: optimized geometry

Its total energy is -4.8390 eV/atom. The calculation puts the calculated formation energy at 118.2 meV per atom.

Unit cell a=2.5482 b=2.5482 c=22.6879 alpha=90.00 beta=90.00 gamma=120.00
Space group R-3m (No. 166, hexagonal axes)
Unique sites:
Be  0.0000  0.0000  0.2398 [6 per cell]
Al  0.0000  0.0000  0.0000 [3 per cell]
Co  0.0000  0.0000  0.5000 [3 per cell]



[12]
Material: Be2AlCo2
Method: DFT, GGA-PBEsol
State: optimized geometry

Its total energy is -5.7148 eV/atom. The calculation puts the calculated formation energy at -201.7 meV per atom. As for the energy above the most stable polymorph in this dataset: 0.198 eV per atom.

Unit cell a=6.087 b=6.087 c=2.682 alpha=90.00 beta=90.00 gamma=90.00
Space group P4/mbm (No. 127)
Unique sites:
Be  0.142  0.358  0.000 [4 per cell]
Al  0.000  0.000  0.500 [2 per cell]
Co  0.149  0.649  0.500 [4 per cell]